The following is a DFT calculation (PBE) of crystalline LiZn8Rh2 at its relaxed geometry.

Cell and atoms, written as CIF:
```
data_LiZn8Rh2
_space_group_name_H-M_alt 'C 1 2/m 1'
_space_group_IT_number 12
_cell_length_a 7.811
_cell_length_b 10.142
_cell_length_c 4.197
_cell_angle_alpha 90.00
_cell_angle_beta 90.12
_cell_angle_gamma 90.00
loop_
_space_group_symop_operation_xyz
'x,y,z'
'-x,-y,-z'
'-x,y,-z'
'x,-y,z'
'x+1/2,y+1/2,z'
'-x+1/2,-y+1/2,-z'
'-x+1/2,y+1/2,-z'
'x+1/2,-y+1/2,z'
loop_
_atom_site_label
_atom_site_type_symbol
_atom_site_fract_x
_atom_site_fract_y
_atom_site_fract_z
Li1 Li 0.000 0.000 0.000
Zn1 Zn 0.000 0.243 0.000
Zn2 Zn 0.167 0.500 0.999
Zn3 Zn 0.168 0.132 0.502
Rh1 Rh 0.000 0.371 0.500
```

Calculated values
N(E_F) ... 0.455 states/eV/atom
Energy ... -57.2 eV per cell
Energy of formation from the pure elements ... -161 meV/atom

The following is a DFT calculation (PBE) of crystalline Li5Zn6Rh at its relaxed geometry.

Cell and atoms, written as CIF:
```
data_Li5Zn6Rh
_space_group_name_H-M_alt 'C 1 2/m 1'
_space_group_IT_number 12
_cell_length_a 12.446
_cell_length_b 7.375
_cell_length_c 4.004
_cell_angle_alpha 90.00
_cell_angle_beta 108.39
_cell_angle_gamma 90.00
loop_
_space_group_symop_operation_xyz
'x,y,z'
'-x,-y,-z'
'-x,y,-z'
'x,-y,z'
'x+1/2,y+1/2,z'
'-x+1/2,-y+1/2,-z'
'-x+1/2,y+1/2,-z'
'x+1/2,-y+1/2,z'
loop_
_atom_site_label
_atom_site_type_symbol
_atom_site_fract_x
_atom_site_fract_y
_atom_site_fract_z
Li1 Li 0.000 0.000 0.000
Li2 Li 0.165 0.000 0.664
Li3 Li 0.170 0.500 0.669
Zn1 Zn 0.000 0.270 0.500
Zn2 Zn 0.165 0.259 0.164
Rh1 Rh 0.000 0.500 0.000
```

Calculated values
N(E_F) ... 0.310 states/eV/atom
Energy ... -54.9 eV per cell
Energy of formation from the pure elements ... -239 meV/atom

The following is a DFT calculation (PBE) of crystalline Li2Zn2Rh at its relaxed geometry.

Cell and atoms, written as CIF:
```
data_Li2Zn2Rh
_space_group_name_H-M_alt 'P 4/m b m'
_space_group_IT_number 127
_space_group_name_Hall '-P 4 2ab'
_cell_length_a 6.624
_cell_length_b 6.624
_cell_length_c 3.301
_cell_angle_alpha 90.00
_cell_angle_beta 90.00
_cell_angle_gamma 90.00
loop_
_atom_site_label
_atom_site_type_symbol
_atom_site_fract_x
_atom_site_fract_y
_atom_site_fract_z
Li1 Li 0.169 0.331 0.000
Zn1 Zn 0.138 0.638 0.500
Rh1 Rh 0.000 0.000 0.500
```

Calculated values
N(E_F) ... 0.374 states/eV/atom
Energy ... -28.7 eV per cell
Energy of formation from the pure elements ... -126 meV/atom
Energy above the lowest structure with this stoichiometry ... 191 meV per atom